# HfScAu4 (GGA-PBE, optimized geometry)
# space group = No. 123
# DFT formation energy = -711 meV/atom
# crystal system = tetragonal
# total moment = 0.004 μB/atom
# volume = 18.51 A^3/atom
data_HfScAu4
_cell_length_a 3.562
_cell_length_b 3.562
_cell_length_c 8.754
_cell_angle_alpha 90.00
_cell_angle_beta 90.00
_cell_angle_gamma 90.00
_symmetry_space_group_name_H-M 'P 1'
_symmetry_Int_Tables_number 1
_symmetry_space_group_name_Hall 'P 1'
loop_
_atom_site_label
_atom_site_type_symbol
_atom_site_fract_x
_atom_site_fract_y
_atom_site_fract_z
_atom_site_occupancy
Hf1 Hf 0.000 0.000 0.000 1
Sc1 Sc 0.500 0.500 0.500 1
Au1 Au 0.000 0.000 0.335 1
Au2 Au 0.000 0.000 0.665 1
Au3 Au 0.500 0.500 0.165 1
Au4 Au 0.500 0.500 0.835 1